A geometry-optimized LiNbVO4 structure, computed with GGA+U. Values from VASP.

Calculated values
Electronic total energy in eV per atom: -7.860
Excess energy over the best structure of this formula in the dataset in meV per atom: 8.0
Calculated volume in Å³/atom: 11.7
Magnetization in μB/f.u.: 2.50

The structure in Quantum ESPRESSO input format:
```
&SYSTEM
  ibrav = 0, nat = 28, ntyp = 4
/
ATOMIC_SPECIES
Li 6.94 Li.upf
Nb 92.91 Nb.upf
V 50.94 V.upf
O 16.00 O.upf
ATOMIC_POSITIONS crystal
Li 0.124 0.066 0.190
Li 0.129 0.553 0.689
Li 0.871 0.447 0.311
Li 0.876 0.934 0.810
Nb 0.498 0.227 0.738
Nb 0.500 0.000 0.500
Nb 0.500 0.500 0.000
Nb 0.502 0.773 0.262
V 0.000 0.000 0.500
V 0.000 0.500 0.000
V 0.500 0.000 0.000
V 0.500 0.500 0.500
O 0.245 0.879 0.623
O 0.256 0.846 0.127
O 0.261 0.616 0.893
O 0.266 0.625 0.379
O 0.267 0.405 0.119
O 0.279 0.131 0.393
O 0.283 0.149 0.877
O 0.284 0.363 0.628
O 0.716 0.637 0.372
O 0.717 0.851 0.123
O 0.721 0.869 0.607
O 0.733 0.595 0.881
O 0.734 0.375 0.621
O 0.739 0.384 0.107
O 0.744 0.154 0.873
O 0.755 0.121 0.377
CELL_PARAMETERS angstrom
6.151 0.000 0.000
-3.043 5.348 0.000
-2.887 -1.874 9.950
```